Computed, not measured: crystalline Na3LiV2O6 at its relaxed geometry at the PBE with a Hubbard U level of DFT.

Lattice parameters (Å, degrees): 5.225 5.225 5.658 99.19 99.19 119.62
Element x y z (fractional)
Na (0.000, 0.000, 0.000)
Na (0.341, 0.659, 0.000)
Na (0.659, 0.341, 0.000)
Li (0.500, 0.500, 0.500)
V (0.169, 0.831, 0.500)
V (0.831, 0.169, 0.500)
O (0.076, 0.438, 0.301)
O (0.204, 0.204, 0.698)
O (0.438, 0.076, 0.301)
O (0.562, 0.924, 0.699)
O (0.796, 0.796, 0.302)
O (0.924, 0.562, 0.699)

Summary:
Calculated total energy ... -73.840 eV for the cell shown
Size of the total moment ... 2.00 μB/f.u.
V ... 10.61 Å³ per atom
ρ ... 3.6 g/cm³

Computed, not measured: crystalline Na5LiV6O18 at its relaxed geometry at the PBE with a Hubbard U level of DFT.

Lattice parameters (Å, degrees): 8.068 10.526 11.311 90.57 103.69 110.60
Element x y z (fractional)
Na (0.000, 0.000, 0.000)
Na (0.018, 0.981, 0.460)
Na (0.120, 0.871, 0.752)
Na (0.230, 0.765, 0.040)
Na (0.327, 0.661, 0.331)
Na (0.347, 0.640, 0.795)
Na (0.561, 0.431, 0.369)
Na (0.668, 0.327, 0.661)
Na (0.686, 0.314, 0.128)
Na (0.895, 0.101, 0.702)
Li (0.462, 0.528, 0.068)
Li (0.796, 0.206, 0.409)
V (0.024, 0.546, 0.541)
V (0.095, 0.311, 0.200)
V (0.250, 0.326, 0.588)
V (0.331, 0.089, 0.247)
V (0.362, 0.224, 0.878)
V (0.431, 0.980, 0.528)
V (0.586, 0.995, 0.925)
V (0.653, 0.752, 0.583)
V (0.697, 0.895, 0.214)
V (0.760, 0.645, 0.870)
V (0.909, 0.662, 0.257)
V (0.995, 0.421, 0.918)
O (0.034, 0.646, 0.410)
O (0.046, 0.196, 0.544)
O (0.046, 0.656, 0.170)
O (0.048, 0.643, 0.666)
O (0.146, 0.155, 0.207)
O (0.158, 0.096, 0.852)
O (0.206, 0.545, 0.953)
O (0.217, 0.489, 0.579)
O (0.289, 0.449, 0.238)
O (0.296, 0.989, 0.617)
O (0.302, 0.984, 0.373)
O (0.302, 0.991, 0.121)
O (0.377, 0.317, 0.743)
O (0.386, 0.317, 0.501)
O (0.388, 0.858, 0.884)
O (0.398, 0.331, 0.000)
O (0.469, 0.819, 0.541)
O (0.492, 0.767, 0.190)
O (0.540, 0.214, 0.281)
O (0.545, 0.155, 0.916)
O (0.619, 0.641, 0.959)
O (0.621, 0.648, 0.461)
O (0.630, 0.114, 0.566)
O (0.633, 0.655, 0.716)
O (0.705, 0.531, 0.209)
O (0.716, 0.986, 0.079)
O (0.722, 0.991, 0.836)
O (0.733, 0.004, 0.335)
O (0.812, 0.489, 0.878)
O (0.825, 0.411, 0.510)
O (0.858, 0.880, 0.608)
O (0.879, 0.826, 0.255)
O (0.955, 0.783, 0.912)
O (0.957, 0.311, 0.291)
O (0.964, 0.318, 0.046)
O (0.965, 0.322, 0.793)

Summary:
Calculated total energy ... -402.646 eV for the cell shown
DOS at the Fermi energy ... 0.00 states/eV/atom
Size of the total moment ... 0.01 μB/f.u.
V ... 14.48 Å³ per atom
ρ ... 2.7 g/cm³

Computed, not measured: crystalline NaLiV4O12 at its relaxed geometry at the PBE with a Hubbard U level of DFT.

Lattice parameters (Å, degrees): 5.204 5.204 7.507 90.00 90.00 90.29
Element x y z (fractional)
Na (0.000, 0.000, 0.000)
Li (0.500, 0.500, 0.500)
V (0.000, 0.500, 0.251)
V (0.000, 0.500, 0.749)
V (0.500, 0.000, 0.251)
V (0.500, 0.000, 0.749)
O (0.000, 0.500, 0.000)
O (0.000, 0.500, 0.500)
O (0.202, 0.798, 0.244)
O (0.202, 0.798, 0.756)
O (0.302, 0.302, 0.265)
O (0.302, 0.302, 0.735)
O (0.500, 0.000, 0.000)
O (0.500, 0.000, 0.500)
O (0.698, 0.698, 0.265)
O (0.698, 0.698, 0.735)
O (0.798, 0.202, 0.244)
O (0.798, 0.202, 0.756)

Summary:
Calculated total energy ... -120.932 eV for the cell shown
DOS at the Fermi energy ... 0.28 states/eV/atom
Size of the total moment ... 2.01 μB/f.u.
V ... 11.29 Å³ per atom
ρ ... 3.5 g/cm³

Computed, not measured: crystalline NaLiVO3 at its relaxed geometry at the PBE with a Hubbard U level of DFT.

Lattice parameters (Å, degrees): 5.783 5.783 7.913 90.00 90.00 149.50
Element x y z (fractional)
Na (0.200, 0.800, 0.750)
Na (0.800, 0.200, 0.250)
Li (0.067, 0.933, 0.250)
Li (0.933, 0.067, 0.750)
V (0.500, 0.500, 0.000)
V (0.500, 0.500, 0.500)
O (0.113, 0.887, 0.030)
O (0.113, 0.887, 0.470)
O (0.467, 0.533, 0.250)
O (0.533, 0.467, 0.750)
O (0.887, 0.113, 0.530)
O (0.887, 0.113, 0.970)

Summary:
Calculated total energy ... -73.108 eV for the cell shown
Size of the total moment ... 1.00 μB/f.u.
V ... 11.19 Å³ per atom
ρ ... 3.2 g/cm³

Computed, not measured: crystalline NaLiVO4 at its relaxed geometry at the PBE with a Hubbard U level of DFT.

Lattice parameters (Å, degrees): 5.241 5.241 8.387 90.00 90.00 90.00
Element x y z (fractional)
Na (0.000, 0.000, 0.000)
Na (0.500, 0.500, 0.500)
Li (0.000, 0.000, 0.500)
Li (0.500, 0.500, 0.000)
V (0.000, 0.500, 0.750)
V (0.500, 0.000, 0.250)
O (0.157, 0.286, 0.625)
O (0.214, 0.657, 0.875)
O (0.286, 0.843, 0.375)
O (0.343, 0.214, 0.125)
O (0.657, 0.786, 0.125)
O (0.714, 0.157, 0.375)
O (0.786, 0.343, 0.875)
O (0.843, 0.714, 0.625)

Summary:
Calculated total energy ... -84.449 eV for the cell shown
DOS at the Fermi energy ... 0.90 states/eV/atom
Size of the total moment ... 1.00 μB/f.u.
V ... 16.46 Å³ per atom
ρ ... 2.1 g/cm³

Computed, not measured: crystalline Na3LiWO5 at its relaxed geometry at the PBE with a Hubbard U level of DFT.

Lattice parameters (Å, degrees): 5.713 6.086 7.769 76.50 70.94 73.71
Element x y z (fractional)
Na (0.020, 0.246, 0.488)
Na (0.183, 0.054, 0.116)
Na (0.201, 0.557, 0.086)
Na (0.799, 0.443, 0.914)
Na (0.817, 0.946, 0.884)
Na (0.980, 0.754, 0.512)
Li (0.384, 0.862, 0.652)
Li (0.616, 0.138, 0.348)
W (0.397, 0.341, 0.702)
W (0.603, 0.659, 0.298)
O (0.144, 0.165, 0.772)
O (0.147, 0.621, 0.773)
O (0.347, 0.922, 0.393)
O (0.350, 0.446, 0.430)
O (0.486, 0.274, 0.923)
O (0.514, 0.726, 0.077)
O (0.650, 0.554, 0.570)
O (0.653, 0.078, 0.607)
O (0.853, 0.379, 0.227)
O (0.856, 0.835, 0.228)

Summary:
Calculated total energy ... -115.451 eV for the cell shown
DOS at the Fermi energy ... 0.00 states/eV/atom
Size of the total moment ... 0.00 μB/f.u.
V ... 12.10 Å³ per atom
ρ ... 4.7 g/cm³

Computed, not measured: crystalline NaLi2WO4 at its relaxed geometry at the PBE with a Hubbard U level of DFT.

Lattice parameters (Å, degrees): 5.318 5.318 7.016 90.00 90.00 90.00
Element x y z (fractional)
Na (0.000, 0.000, 0.000)
Na (0.500, 0.500, 0.500)
Li (0.000, 0.500, 0.250)
Li (0.000, 0.500, 0.750)
Li (0.500, 0.000, 0.250)
Li (0.500, 0.000, 0.750)
W (0.000, 0.000, 0.500)
W (0.500, 0.500, 0.000)
O (0.219, 0.219, 0.633)
O (0.219, 0.781, 0.367)
O (0.281, 0.281, 0.133)
O (0.281, 0.719, 0.867)
O (0.719, 0.281, 0.867)
O (0.719, 0.719, 0.133)
O (0.781, 0.219, 0.367)
O (0.781, 0.781, 0.633)

Summary:
Calculated total energy ... -95.239 eV for the cell shown
DOS at the Fermi energy ... 0.00 states/eV/atom
Size of the total moment ... 1.00 μB/f.u.
V ... 12.40 Å³ per atom
ρ ... 4.8 g/cm³

Computed, not measured: crystalline Na3Li2WO6 at its relaxed geometry at the PBE with a Hubbard U level of DFT.

Lattice parameters (Å, degrees): 5.390 5.390 5.666 99.29 99.29 119.77
Element x y z (fractional)
Na (0.000, 0.000, 0.000)
Na (0.321, 0.679, 0.000)
Na (0.679, 0.321, 0.000)
Li (0.168, 0.832, 0.500)
Li (0.832, 0.168, 0.500)
W (0.500, 0.500, 0.500)
O (0.131, 0.432, 0.292)
O (0.270, 0.270, 0.706)
O (0.432, 0.131, 0.292)
O (0.568, 0.869, 0.708)
O (0.730, 0.730, 0.294)
O (0.869, 0.568, 0.708)

Summary:
Calculated total energy ... -66.604 eV for the cell shown
DOS at the Fermi energy ... 0.73 states/eV/atom
Size of the total moment ... 1.08 μB/f.u.
V ... 11.28 Å³ per atom
ρ ... 4.5 g/cm³